(1)
Computed, not measured: crystalline Np2H4S at its relaxed geometry at the PBE level of DFT.

Calculated values
DFT total energy: -6.778 eV per atom

a b c (Å): 3.7509 3.7509 20.6408
angles (deg): 90.00 90.00 120.00
Last column: nearest neighbours and their distance in Å.
Space group R-3m (No. 166, hexagonal axes)
Unique sites:
Np  0.0000  0.0000  0.2455 (multiplicity 6)  7 H 2.19-2.38
H  0.0000  0.0000  0.1353 (multiplicity 6)  6 H 2.27-2.52, 4 Np 2.27-2.38
H  0.0000  0.0000  0.4355 (multiplicity 6)  3 Np 2.19, 3 H 2.27
S  0.0000  0.0000  0.0000 (multiplicity 3)  8 H 2.79-3.02, 6 Np 2.82

(2)
Computed, not measured: crystalline Tl12Te6Se at its relaxed geometry at the PBE level of DFT.

Calculated values
Formation energy without anion corrections: -0.250 eV/atom

a b c (Å): 14.3473 14.3473 13.5728
angles (deg): 90.00 90.00 120.00
Last column: nearest neighbours and their distance in Å.
Space group R-3 (No. 148, hexagonal axes)
Unique sites:
Tl  0.0392  0.2289  0.4070 (multiplicity 18)  4 Te 3.27-3.37
Tl  0.0549  0.2182  0.8999 (multiplicity 18)  1 Se 3.13, 3 Te 3.35-3.45
Te  0.0475  0.2577  0.6506 (multiplicity 18)  7 Tl 3.27-3.45
Se  0.0000  0.0000  0.0000 (multiplicity 3)  6 Tl 3.13

(3)
Computed, not measured: crystalline Pr2Ho2Tl at its relaxed geometry at the PBE level of DFT.

Calculated values
E above lowest polymorph: 0.000 eV per atom
Energy relative to the elements: -76.2 meV per atom

a b c (Å): 5.1949 17.2495 6.8668
angles (deg): 90.00 90.00 90.00
Last column: nearest neighbours and their distance in Å.
Space group Cmc2_1 (No. 36)
Unique sites:
Pr  0.0000  0.0034  0.0000 (multiplicity 4)  5 Ho 3.37-3.65, 3 Pr 3.38-3.44, 4 Tl 3.55-3.61
Pr  0.0000  0.1992  0.0016 (multiplicity 4)  6 Ho 3.21-3.56, 1 Pr 3.38, 2 Tl 3.53
Ho  0.0000  0.1921  0.4833 (multiplicity 4)  5 Pr 3.21-3.56, 2 Tl 3.42, 2 Ho 3.47
Ho  0.0000  0.3908  0.2455 (multiplicity 4)  3 Tl 3.41-3.65, 3 Ho 3.47-3.80, 7 Pr 3.50-3.71
Tl  0.0000  0.3977  0.7499 (multiplicity 4)  5 Ho 3.41-3.65, 6 Pr 3.53-3.61

(4)
Computed, not measured: crystalline La2TbPm2Mg5 at its relaxed geometry at the PBE level of DFT.

Calculated values
Energy relative to the elements: -0.6 meV per atom

a b c (Å): 10.7082 10.7082 5.1698
angles (deg): 90.00 90.00 90.00
Last column: nearest neighbours and their distance in Å.
Space group P4/mbm (No. 127)
Unique sites:
La  0.1743  0.3257  0.0000 (multiplicity 4)  3 Pm 3.06-3.24
Tb  0.0000  0.0000  0.0000 (multiplicity 2)  8 Mg 3.41
Pm  0.1235  0.6235  0.0000 (multiplicity 4)  3 La 3.06-3.24, 6 Mg 3.19-3.28
Mg  0.0000  0.5000  0.5000 (multiplicity 2)  4 Pm 3.19, 4 Mg 3.37
Mg  0.0734  0.8057  0.5000 (multiplicity 8)  4 Mg 3.15-3.52, 2 Pm 3.28, 2 Tb 3.41

(5)
Computed, not measured: crystalline CaLaI5 at its relaxed geometry at the PBE level of DFT.

Calculated values
Formation energy without anion corrections: -1.498 eV/atom
E above lowest polymorph: 0.050 eV per atom

a b c (Å): 19.3942 4.4595 16.1270
angles (deg): 90.00 90.00 90.00
Last column: nearest neighbours and their distance in Å.
Space group Pnma (No. 62)
Unique sites:
Ca  0.1709  0.2500  0.2360 (multiplicity 4)  6 I 3.07-3.37
La  0.0791  0.2500  0.7482 (multiplicity 4)  6 I 3.17-3.20
I  0.0279  0.7500  0.8733 (multiplicity 4)  2 La 3.17
I  0.0705  0.7500  0.3354 (multiplicity 4)  1 La 3.20, 2 Ca 3.37
I  0.1284  0.7500  0.6217 (multiplicity 4)  2 La 3.17
I  0.1713  0.7500  0.1049 (multiplicity 4)  2 Ca 3.07
I  0.2275  0.2500  0.8336 (multiplicity 4)  1 La 3.19, 2 Ca 3.37

(6)
Computed, not measured: crystalline Zr8Sn2Os at its relaxed geometry at the PBE level of DFT.

Calculated values
Energy relative to the elements: -249.0 meV per atom

a b c (Å): 18.5308 4.7785 5.9461
angles (deg): 90.00 107.69 90.00
Last column: nearest neighbours and their distance in Å.
Space group C2/m (No. 12)
Unique sites:
Zr  0.0234  0.0000  0.2763 (multiplicity 4)  2 Os 2.83, 1 Sn 2.94, 2 Zr 3.04-3.13
Zr  0.0853  0.5000  0.9844 (multiplicity 4)  1 Os 2.83, 1 Zr 3.10, 2 Sn 3.15
Zr  0.1464  0.5000  0.5319 (multiplicity 4)  1 Os 2.66
Zr  0.2286  0.0000  0.8354 (multiplicity 4)  4 Sn 2.96-3.22, 5 Zr 3.04-3.29
Sn  0.1814  0.0000  0.2683 (multiplicity 4)  10 Zr 2.94-3.22
Os  0.0000  0.5000  0.5000 (multiplicity 2)  8 Zr 2.66-2.83

(7)
Computed, not measured: crystalline YZrZn4 at its relaxed geometry at the PBE level of DFT.

Calculated values
E above lowest polymorph: 0.000 eV per atom
Energy relative to the elements: -321.6 meV per atom

a b c (Å): 3.3192 4.4219 7.6513
angles (deg): 90.00 90.00 90.00
Last column: nearest neighbours and their distance in Å.
Space group Pmmm (No. 47)
Unique sites:
Y  0.0000  0.0000  0.0000 (multiplicity 1)  12 Zn 3.07-3.08, 2 Y 3.32
Zr  0.0000  0.5000  0.5000 (multiplicity 1)  12 Zn 2.99-3.03, 2 Zr 3.32
Zn  0.5000  0.0000  0.3391 (multiplicity 2)  3 Zn 2.46-2.54
Zn  0.5000  0.5000  0.1749 (multiplicity 2)  3 Zn 2.54-2.68

(8)
Computed, not measured: crystalline SmY2Er2Sc at its relaxed geometry at the PBE level of DFT.

Calculated values
Energy relative to the elements: 273.7 meV per atom

a b c (Å): 6.4870 17.4177 3.3378
angles (deg): 90.00 90.00 90.00
Last column: nearest neighbours and their distance in Å.
Space group Pnnm (No. 58)
Unique sites:
Sm  0.0000  0.0000  0.0000 (multiplicity 2)  2 Sm 3.34, 4 Er 3.43, 4 Sc 3.65
Y  0.2459  0.3168  0.0000 (multiplicity 4)  4 Er 3.31-3.42, 2 Y 3.34, 1 Sc 3.57
Er  0.2464  0.1452  0.5000 (multiplicity 4)  1 Sc 3.02, 2 Y 3.31, 2 Er 3.34
Sc  0.0000  0.5000  0.0000 (multiplicity 2)  2 Er 3.02, 2 Sc 3.34